Entry from Alexandria: a geometry-optimized KCaO2 structure (PBE).

Uncorrected energy, eV/cell: -20.10
Total magnetic moment, μB per formula unit: 1.00
D(E_F), states/eV/cell: 4.258
Space-group type: R3m
V, Å³/cell: 68

Geometry as POSCAR:
```
KCaO2
1.0
1.766 1.019 6.339
-1.766 1.019 6.339
0.000 -2.039 6.339
K Ca O
1 1 2
Cartesian
0.000 0.000 0.000
0.000 0.000 3.250
0.000 0.000 10.814
0.000 0.000 14.676
```